Computed, not measured: Na3CuF8 after structural relaxation at the PBE level of DFT.

Geometry as extended XYZ:
```
12
Lattice="5.3010 0.0000 0.0000 0.0000 5.3010 0.0000 0.0000 0.0000 5.3010" Properties=species:S:1:pos:R:3 pbc="T T T"
Na 0.0000 0.0000 2.6505
Na 0.0000 2.6505 0.0000
Na 2.6505 0.0000 0.0000
Cu 2.6505 2.6505 2.6505
F 1.4459 1.4459 1.4459
F 1.4459 1.4459 3.8551
F 1.4459 3.8551 1.4459
F 1.4459 3.8551 3.8551
F 3.8551 1.4459 1.4459
F 3.8551 1.4459 3.8551
F 3.8551 3.8551 1.4459
F 3.8551 3.8551 3.8551
```

Summary:
Crystal system: cubic
Formation energy (no corrections), eV per atom: -1.71
E_tot, eV/cell: -43.5
M_tot, μB/cell: 4.02